Record 1
This record from Alexandria describes a relaxed structure of ZnPtCl6. The functional is PBE.

Output
ΔE_f (raw), meV per atom: -616

Cell lengths 7.0167, 6.2392, 6.5776 Å; angles 100.05, 105.48, 124.18 degrees
Fractional positions:
Pt 0.5000 0.0000 0.0000
Cl 0.3936 0.1388 0.2765
Cl 0.7279 0.4558 0.0000
Cl 0.8829 0.1377 0.2765
Cl 0.1171 0.8623 0.7235
Cl 0.6064 0.8612 0.7235
Cl 0.2721 0.5442 0.0000
Zn 0.0000 0.0000 0.0000

---

Record 2
This record from Alexandria describes a relaxed structure of Zn2PtCl. The functional is PBE.

Output
ΔE_f (raw), meV per atom: -259
Polymorph energy (0 for the lowest one), eV per atom: 0.234
D(E_F), states/eV per cell: 1.3

Cell lengths 3.3163, 3.7294, 6.8562 Å; angles 90.00, 90.00, 90.00 degrees
Fractional positions:
Pt 0.5000 0.5000 0.9127
Zn 0.0000 0.0000 0.9083
Zn 0.5000 0.5000 0.2682
Cl 0.0000 0.0000 0.4108

---

Record 3
This record from Alexandria describes a relaxed structure of ZnPtCl. The functional is PBE.

Output
ΔE_f (raw), meV per atom: 319
Polymorph energy (0 for the lowest one), eV per atom: 0.563
D(E_F), states/eV per cell: 1.6

Cell lengths 4.3477, 4.3477, 4.3477 Å; angles 60.00, 60.00, 60.00 degrees
Fractional positions:
Zn 0.7500 0.7500 0.7500
Cl 0.0000 0.0000 0.0000
Pt 0.5000 0.5000 0.5000

---

Record 4
This record from Alexandria describes a relaxed structure of ZnPtCl5. The functional is PBE.

Output
ΔE_f (raw), meV per atom: -674
D(E_F), states/eV per cell: 1.2

Cell lengths 6.3563, 6.3563, 9.7172 Å; angles 101.91, 112.22, 96.12 degrees
Fractional positions:
Cl 0.2556 0.8028 0.5128
Cl 0.7444 0.1972 0.4872
Cl 0.7234 0.1678 0.8491
Cl 0.3187 0.3743 0.6509
Cl 0.7100 0.7572 0.0128
Cl 0.9880 0.2380 0.2500
Cl 0.2766 0.8322 0.1509
Cl 0.6813 0.6257 0.3491
Cl 0.2900 0.2428 0.9872
Cl 0.0120 0.7620 0.7500
Zn 0.3015 0.0515 0.7500
Zn 0.6985 0.9485 0.2500
Pt 0.0000 0.5000 0.5000
Pt 0.0000 0.0000 0.0000

---

| no. | total moment (μB/f.u.) |
| --- | --- |
| 1 | 0.00 |
| 2 | 0.00 |
| 3 | 0.00 |
| 4 | 0.00 |